w.
A relaxed structure of Pm2MgPb3. Source: Alexandria, functional PBE-GGA.

Calculated values
Crystal system   tetragonal
Symmetry   No. 115

Structure (extended XYZ):
```
6
Lattice="4.525 0.000 0.000 0.000 4.525 0.000 0.000 0.000 8.680" Properties=species:S:1:pos:R:3 pbc="T T T"
Mg 2.262 2.262 0.000
Pm 0.000 2.262 2.829
Pb 0.000 0.000 0.000
Pb 0.000 2.262 6.084
Pb 2.262 0.000 2.597
Pm 2.262 0.000 5.852
```

x.
A relaxed structure of Pm2MgPb3. Source: Alexandria, functional PBE-GGA.

Calculated values
Crystal system   orthorhombic
Symmetry   No. 65

Structure (extended XYZ):
```
6
Lattice="-1.796 0.580 4.119 -3.059 -3.614 -0.825 6.081 -5.355 0.914" Properties=species:S:1:pos:R:3 pbc="T T T"
Pb -2.428 -1.517 1.647
Pb 3.421 -3.343 1.962
Pm 0.054 -3.355 0.496
Pb 0.864 -1.432 3.071
Pm 1.172 -5.035 3.712
Mg 0.000 0.000 0.000
```

Ordering by calculated energy gives the sequence x, w, with the first entry being the most stable.

w.
A relaxed structure of PmMgSnPb. Source: Alexandria, functional PBE-GGA.

Calculated values
Crystal system   orthorhombic
Symmetry   No. 47

Structure (extended XYZ):
```
4
Lattice="4.527 0.000 0.000 0.000 4.862 0.000 0.000 0.000 4.834" Properties=species:S:1:pos:R:3 pbc="T T T"
Pm 0.000 2.431 2.417
Mg 0.000 0.000 0.000
Pb 2.263 0.000 2.417
Sn 2.263 2.431 0.000
```

x.
A relaxed structure of PmMgSnPb. Source: Alexandria, functional PBE-GGA.

Calculated values
Crystal system   cubic
Symmetry   No. 216

Structure (extended XYZ):
```
4
Lattice="-0.555 3.131 4.340 -0.224 -2.210 4.900 4.109 0.613 3.418" Properties=species:S:1:pos:R:3 pbc="T T T"
Mg 1.665 0.767 6.329
Sn 0.833 0.383 3.164
Pm 0.000 0.000 0.000
Pb 2.498 1.150 9.493
```

Ordering by calculated energy gives the sequence w, x, with the first entry being the most stable.